A.
# Cs3AuCl (PBE-GGA, optimized geometry)
data_Cs3AuCl
_space_group_name_H-M_alt 'P 1'
_space_group_IT_number 1
_space_group_name_Hall 'P 1'
_cell_length_a 6.6379
_cell_length_b 6.6379
_cell_length_c 6.6379
_cell_angle_alpha 90.00
_cell_angle_beta 90.00
_cell_angle_gamma 90.00
loop_
_atom_site_label
_atom_site_type_symbol
_atom_site_fract_x
_atom_site_fract_y
_atom_site_fract_z
_atom_site_occupancy
Cs1 Cs 0.0000 0.5000 0.0000 1
Cs2 Cs 0.0000 0.0000 0.5000 1
Cl1 Cl 0.0000 0.0000 0.0000 1
Cs3 Cs 0.5000 0.0000 0.0000 1
Au1 Au 0.5000 0.5000 0.5000 1
# Total magnetization = 0.00 μB/f.u.
# Crystal system = cubic
# D(E_F) = 4.27 states/eV/cell

B.
# Cs3AuCl (PBE-GGA, optimized geometry)
data_Cs3AuCl
_space_group_name_H-M_alt 'P 1'
_space_group_IT_number 1
_space_group_name_Hall 'P 1'
_cell_length_a 5.0940
_cell_length_b 8.8198
_cell_length_c 13.3953
_cell_angle_alpha 102.16
_cell_angle_beta 90.00
_cell_angle_gamma 90.00
loop_
_atom_site_label
_atom_site_type_symbol
_atom_site_fract_x
_atom_site_fract_y
_atom_site_fract_z
_atom_site_occupancy
Cl1 Cl 0.2500 0.2377 0.4839 1
Au1 Au 0.2500 0.3654 0.8233 1
Cs1 Cs 0.7500 0.2641 0.9933 1
Cl2 Cl 0.7500 0.7623 0.5161 1
Cs2 Cs 0.7500 0.4565 0.6508 1
Cs3 Cs 0.7500 0.0198 0.3425 1
Cs4 Cs 0.2500 0.5435 0.3492 1
Cs5 Cs 0.2500 0.9802 0.6575 1
Au2 Au 0.7500 0.6346 0.1767 1
Cs6 Cs 0.2500 0.7359 0.0067 1
# Total magnetization = 0.00 μB/f.u.
# Crystal system = monoclinic
# D(E_F) = 5.81 states/eV/cell

Verdict on stability: B comes out on top.

A.
# Cs2AuCl3 (PBE-GGA, optimized geometry)
data_Cs2AuCl3
_space_group_name_H-M_alt 'P 1'
_space_group_IT_number 1
_space_group_name_Hall 'P 1'
_cell_length_a 7.8563
_cell_length_b 7.8563
_cell_length_c 9.8116
_cell_angle_alpha 106.69
_cell_angle_beta 106.69
_cell_angle_gamma 106.41
loop_
_atom_site_label
_atom_site_type_symbol
_atom_site_fract_x
_atom_site_fract_y
_atom_site_fract_z
_atom_site_occupancy
Cs1 Cs 0.2500 0.7500 0.5000 1
Cl1 Cl 0.4697 0.7687 0.2384 1
Au1 Au 0.2806 0.2806 0.5613 1
Cs2 Cs 0.7308 0.7308 0.0000 1
Cl2 Cl 0.2313 0.5303 0.7616 1
Cs3 Cs 0.2692 0.2692 0.0000 1
Cs4 Cs 0.7500 0.2500 0.5000 1
Cl3 Cl 0.1436 0.1436 0.2872 1
Au2 Au 0.7194 0.7194 0.4387 1
Cl4 Cl 0.7687 0.4697 0.2384 1
Cl5 Cl 0.8564 0.8564 0.7128 1
Cl6 Cl 0.5303 0.2313 0.7616 1
# Total magnetization = 0.00 μB/f.u.
# Crystal system = orthorhombic
# D(E_F) = 0.00 states/eV/cell

B.
# Cs2AuCl3 (PBE-GGA, optimized geometry)
data_Cs2AuCl3
_space_group_name_H-M_alt 'P 1'
_space_group_IT_number 1
_space_group_name_Hall 'P 1'
_cell_length_a 8.2669
_cell_length_b 7.5160
_cell_length_c 9.2220
_cell_angle_alpha 90.00
_cell_angle_beta 89.99
_cell_angle_gamma 56.64
loop_
_atom_site_label
_atom_site_type_symbol
_atom_site_fract_x
_atom_site_fract_y
_atom_site_fract_z
_atom_site_occupancy
Cs1 Cs 0.8175 0.3651 0.5000 1
Cl1 Cl 0.8349 0.7004 0.2500 1
Au1 Au 0.5270 0.0000 0.7500 1
Cs2 Cs 0.1825 0.6349 0.5000 1
Cl2 Cl 0.1651 0.2996 0.7500 1
Cs3 Cs 0.8175 0.3650 0.0000 1
Cs4 Cs 0.1825 0.6350 0.0000 1
Au2 Au 0.4730 0.0000 0.2500 1
Cl3 Cl 0.8144 0.0000 0.7500 1
Cl4 Cl 0.4647 0.7004 0.7500 1
Cl5 Cl 0.1856 0.0000 0.2500 1
Cl6 Cl 0.5353 0.2996 0.2500 1
# Total magnetization = 0.00 μB/f.u.
# Crystal system = orthorhombic
# D(E_F) = 0.00 states/eV/cell

Verdict on stability: A comes out on top.

A.
# CsAu3Cl (PBE-GGA, optimized geometry)
data_CsAu3Cl
_space_group_name_H-M_alt 'P 1'
_space_group_IT_number 1
_space_group_name_Hall 'P 1'
_cell_length_a 6.0315
_cell_length_b 6.0315
_cell_length_c 6.0315
_cell_angle_alpha 90.00
_cell_angle_beta 90.00
_cell_angle_gamma 90.00
loop_
_atom_site_label
_atom_site_type_symbol
_atom_site_fract_x
_atom_site_fract_y
_atom_site_fract_z
_atom_site_occupancy
Au1 Au 0.5000 0.0000 0.0000 1
Au2 Au 0.0000 0.5000 0.0000 1
Au3 Au 0.0000 0.0000 0.5000 1
Cs1 Cs 0.0000 0.0000 0.0000 1
Cl1 Cl 0.5000 0.5000 0.5000 1
# Total magnetization = 0.00 μB/f.u.
# Crystal system = cubic
# D(E_F) = 4.88 states/eV/cell

B.
# CsAu3Cl (PBE-GGA, optimized geometry)
data_CsAu3Cl
_space_group_name_H-M_alt 'P 1'
_space_group_IT_number 1
_space_group_name_Hall 'P 1'
_cell_length_a 5.3307
_cell_length_b 5.3307
_cell_length_c 5.3307
_cell_angle_alpha 90.00
_cell_angle_beta 90.00
_cell_angle_gamma 90.00
loop_
_atom_site_label
_atom_site_type_symbol
_atom_site_fract_x
_atom_site_fract_y
_atom_site_fract_z
_atom_site_occupancy
Au1 Au 0.0000 0.5000 0.0000 1
Au2 Au 0.0000 0.0000 0.5000 1
Cl1 Cl 0.0000 0.0000 0.0000 1
Au3 Au 0.5000 0.0000 0.0000 1
Cs1 Cs 0.5000 0.5000 0.5000 1
# Total magnetization = 0.00 μB/f.u.
# Crystal system = cubic
# D(E_F) = 2.05 states/eV/cell

Verdict on stability: B comes out on top.

A.
# Cs6Au3Cl2 (PBE-GGA, optimized geometry)
data_Cs6Au3Cl2
_space_group_name_H-M_alt 'P 1'
_space_group_IT_number 1
_space_group_name_Hall 'P 1'
_cell_length_a 6.5619
_cell_length_b 6.5619
_cell_length_c 14.8353
_cell_angle_alpha 102.78
_cell_angle_beta 102.78
_cell_angle_gamma 90.00
loop_
_atom_site_label
_atom_site_type_symbol
_atom_site_fract_x
_atom_site_fract_y
_atom_site_fract_z
_atom_site_occupancy
Cs1 Cs 0.7165 0.7165 0.4331 1
Au1 Au 0.0000 0.0000 0.0000 1
Cs2 Cs 0.9181 0.4181 0.8361 1
Cs3 Cs 0.5819 0.0819 0.1639 1
Au2 Au 0.8454 0.8454 0.6907 1
Cs4 Cs 0.4181 0.9181 0.8361 1
Cs5 Cs 0.0819 0.5819 0.1639 1
Cl1 Cl 0.5982 0.5982 0.1964 1
Cl2 Cl 0.4018 0.4018 0.8036 1
Au3 Au 0.1546 0.1546 0.3093 1
Cs6 Cs 0.2835 0.2835 0.5669 1
# Total magnetization = 0.29 μB/f.u.
# Crystal system = tetragonal
# D(E_F) = 4.85 states/eV/cell

B.
# Cs6Au3Cl2 (PBE-GGA, optimized geometry)
data_Cs6Au3Cl2
_space_group_name_H-M_alt 'P 1'
_space_group_IT_number 1
_space_group_name_Hall 'P 1'
_cell_length_a 10.6219
_cell_length_b 10.6329
_cell_length_c 6.0946
_cell_angle_alpha 73.34
_cell_angle_beta 54.98
_cell_angle_gamma 60.03
loop_
_atom_site_label
_atom_site_type_symbol
_atom_site_fract_x
_atom_site_fract_y
_atom_site_fract_z
_atom_site_occupancy
Cl1 Cl 0.8301 0.3398 0.5000 1
Cs1 Cs 0.4146 0.6548 0.7580 1
Au1 Au 0.6570 0.6860 0.0000 1
Cs2 Cs 0.9307 0.6548 0.2420 1
Cs3 Cs 0.7656 0.0000 0.7343 1
Au2 Au 0.0000 0.0000 0.0000 1
Cs4 Cs 0.5854 0.3452 0.2420 1
Cs5 Cs 0.0693 0.3452 0.7580 1
Cl2 Cl 0.1699 0.6602 0.5000 1
Cs6 Cs 0.2344 0.0000 0.2657 1
Au3 Au 0.3430 0.3140 0.0000 1
# Total magnetization = 0.69 μB/f.u.
# Crystal system = orthorhombic
# D(E_F) = 3.19 states/eV/cell

Verdict on stability: B comes out on top.

A.
# Cs2RbAuCl (PBE-GGA, optimized geometry)
data_Cs2RbAuCl
_space_group_name_H-M_alt 'P 1'
_space_group_IT_number 1
_space_group_name_Hall 'P 1'
_cell_length_a 6.6536
_cell_length_b 6.6536
_cell_length_c 6.2628
_cell_angle_alpha 90.00
_cell_angle_beta 90.00
_cell_angle_gamma 90.00
loop_
_atom_site_label
_atom_site_type_symbol
_atom_site_fract_x
_atom_site_fract_y
_atom_site_fract_z
_atom_site_occupancy
Cs1 Cs 0.0000 0.5000 0.0000 1
Au1 Au 0.5000 0.5000 0.5000 1
Rb1 Rb 0.0000 0.0000 0.5000 1
Cl1 Cl 0.0000 0.0000 0.0000 1
Cs2 Cs 0.5000 0.0000 0.0000 1
# Total magnetization = 0.00 μB/f.u.
# Crystal system = tetragonal
# D(E_F) = 3.16 states/eV/cell

B.
# Cs2RbAuCl (PBE-GGA, optimized geometry)
data_Cs2RbAuCl
_space_group_name_H-M_alt 'P 1'
_space_group_IT_number 1
_space_group_name_Hall 'P 1'
_cell_length_a 5.3010
_cell_length_b 5.3010
_cell_length_c 17.4409
_cell_angle_alpha 90.00
_cell_angle_beta 90.00
_cell_angle_gamma 90.00
loop_
_atom_site_label
_atom_site_type_symbol
_atom_site_fract_x
_atom_site_fract_y
_atom_site_fract_z
_atom_site_occupancy
Cs1 Cs 0.0000 0.5000 0.1037 1
Cs2 Cs 0.5000 0.0000 0.2878 1
Au1 Au 0.0000 0.5000 0.3469 1
Cs3 Cs 0.5000 0.0000 0.8963 1
Cl1 Cl 0.0000 0.5000 0.9071 1
Rb1 Rb 0.0000 0.0000 0.5000 1
Cs4 Cs 0.0000 0.5000 0.7122 1
Rb2 Rb 0.5000 0.5000 0.5000 1
Cl2 Cl 0.5000 0.0000 0.0929 1
Au2 Au 0.5000 0.0000 0.6531 1
# Total magnetization = 0.00 μB/f.u.
# Crystal system = tetragonal
# D(E_F) = 5.69 states/eV/cell

Verdict on stability: B comes out on top.